[1]
Computed, not measured: an optimized crystal structure of TbHfP2 at the PBE-GGA level of DFT.

Output
Energy above the most stable polymorph in this dataset ... 3 meV per atom
Uncorrected energy ... -61.8 eV for the cell shown
Total magnetization ... 0.0 Bohr magnetons per cell

a b c (Å): 3.8216 3.8216 13.0061
angles (deg): 90.00 90.00 120.00
Element x y z (fractional)
Hf (0.0000, 0.0000, 0.1215)
Hf (0.0000, 0.0000, 0.8785)
P (0.3333, 0.6667, 0.0000)
P (0.6667, 0.3333, 0.2314)
P (0.0000, 0.0000, 0.5000)
P (0.6667, 0.3333, 0.7686)
Tb (0.3333, 0.6667, 0.3637)
Tb (0.3333, 0.6667, 0.6363)

[2]
Computed, not measured: an optimized crystal structure of TbGaAu2O4 at the PBE-GGA level of DFT.

Output
Uncorrected energy ... -46.5 eV for the cell shown
Total magnetization ... 0.0 Bohr magnetons per cell

a b c (Å): 3.2790 3.2790 12.4100
angles (deg): 90.00 90.00 120.00
Element x y z (fractional)
Au (0.3333, 0.6667, 0.2402)
Au (0.6667, 0.3333, 0.7598)
Ga (0.0000, 0.0000, 0.0000)
O (0.3333, 0.6667, 0.0730)
O (0.3333, 0.6667, 0.4057)
O (0.6667, 0.3333, 0.5943)
O (0.6667, 0.3333, 0.9270)
Tb (0.0000, 0.0000, 0.5000)

[3]
Computed, not measured: an optimized crystal structure of LaFe12B6 at the PBE-GGA level of DFT.

Output
Uncorrected energy ... -150.0 eV for the cell shown
Total magnetization ... 18.9 Bohr magnetons per cell

a b c (Å): 6.0837 6.0837 6.0837
angles (deg): 104.33 104.33 104.33
Site moments in Bohr magnetons follow the coordinates.
Element x y z (fractional)
B (0.6824, 0.2302, 0.2302)  -0.13
B (0.2302, 0.6824, 0.2302)  -0.13
B (0.7698, 0.7698, 0.3176)  -0.13
B (0.2302, 0.2302, 0.6824)  -0.13
B (0.7698, 0.3176, 0.7698)  -0.13
B (0.3176, 0.7698, 0.7698)  -0.13
Fe (0.8687, 0.5000, 0.1313)  1.27
Fe (0.5000, 0.8687, 0.1313)  1.27
Fe (0.4579, 0.4579, 0.1892)  2.04
Fe (0.4579, 0.1892, 0.4579)  2.06
Fe (0.1892, 0.4579, 0.4579)  2.10
Fe (0.8687, 0.1313, 0.5000)  1.25
Fe (0.1313, 0.8687, 0.5000)  1.25
Fe (0.8108, 0.5421, 0.5421)  2.10
Fe (0.5421, 0.8108, 0.5421)  2.06
Fe (0.5421, 0.5421, 0.8108)  2.04
Fe (0.5000, 0.1313, 0.8687)  1.27
Fe (0.1313, 0.5000, 0.8687)  1.27
La (0.0000, 0.0000, 0.0000)  -0.13

[4]
Computed, not measured: an optimized crystal structure of BeNb2Re at the PBE-GGA level of DFT.

Output
Uncorrected energy ... -35.7 eV for the cell shown
Total magnetization ... 0.2 Bohr magnetons per cell

a b c (Å): 4.4148 4.4148 4.4148
angles (deg): 60.00 60.00 60.00
Site moments in Bohr magnetons follow the coordinates.
Element x y z (fractional)
Be (0.5000, 0.5000, 0.5000)  0.00
Nb (0.0000, 0.0000, 0.0000)  0.01
Nb (0.7500, 0.7500, 0.7500)  0.14
Re (0.2500, 0.2500, 0.2500)  0.01